Entry from the Alexandria database: a relaxed structure of NaCa2CdNi (PBE-GGA).

Lattice parameters (Å, degrees): 5.412 5.412 5.101 90.00 90.00 90.00
Fractional coordinates of all 5 atoms:
Ni (0.000, 0.000, 0.000)
Ca (0.000, 0.500, 0.000)
Ca (0.500, 0.000, 0.000)
Na (0.500, 0.500, 0.500)
Cd (0.000, 0.000, 0.500)

## Properties
DFT formation energy = -0.076 eV/atom
Total magnetization = 0.0 μB/f.u.

Entry from the Alexandria database: a relaxed structure of PSe2SBr (PBE-GGA).

Lattice parameters (Å, degrees): 4.954 4.954 4.785 90.00 90.00 90.00
Fractional coordinates of all 5 atoms:
P (0.500, 0.500, 0.500)
S (0.000, 0.000, 0.000)
Se (0.000, 0.500, 0.000)
Se (0.500, 0.000, 0.000)
Br (0.000, 0.000, 0.500)

## Properties
Raw formation energy = 0.937 eV per atom
Total magnetization = 0.0 μB/f.u.
E above lowest polymorph = 169.8 meV per atom

Entry from the Alexandria database: a relaxed structure of Fe2OsS2 (PBE-GGA).

Lattice parameters (Å, degrees): 3.922 3.922 4.922 66.52 66.52 90.00
Last column: magnetic moment on the atom in μB.
Fractional coordinates of all 5 atoms:
S (0.368, 0.368, 0.265)  -0.01
S (0.632, 0.632, 0.735)  -0.01
Os (0.000, 0.000, 0.000)  -0.08
Fe (0.750, 0.250, 0.500)  0.90
Fe (0.250, 0.750, 0.500)  0.90

## Properties
Raw formation energy = 0.546 eV per atom
Total magnetization = 1.6 μB/f.u.
E above lowest polymorph = 277.0 meV per atom

Entry from the Alexandria database: a relaxed structure of La2Y2Er7 (PBE-GGA).

Lattice parameters (Å, degrees): 6.872 9.449 6.872 89.99 123.69 90.01
Last column: magnetic moment on the atom in μB.
Fractional coordinates of all 11 atoms:
La (0.748, 0.500, 0.748)  0.06
La (0.252, 0.500, 0.252)  0.06
Y (0.722, 0.000, 0.278)  0.00
Y (0.278, 0.000, 0.722)  0.00
Er (0.000, 0.316, 0.500)  0.00
Er (0.500, 0.684, 0.000)  0.00
Er (0.000, 0.684, 0.500)  0.00
Er (0.500, 0.316, 0.000)  0.00
Er (0.000, 0.000, 0.000)  0.00
Er (0.500, 0.816, 0.500)  0.00
Er (0.500, 0.184, 0.500)  0.00

## Properties
DFT formation energy = 0.357 eV/atom
Total magnetization = 0.2 μB/f.u.
E above lowest polymorph = 233.0 meV per atom

Entry from the Alexandria database: a relaxed structure of AcCeLuPb (PBE-GGA).

Lattice parameters (Å, degrees): 5.617 5.617 5.617 60.00 60.00 60.00
Last column: magnetic moment on the atom in μB.
Fractional coordinates of all 4 atoms:
Pb (0.000, 0.000, 0.000)  -0.01
Ac (0.500, 0.500, 0.500)  0.14
Lu (0.250, 0.250, 0.250)  0.12
Ce (0.750, 0.750, 0.750)  0.84

## Properties
DFT formation energy = 0.014 eV/atom
Total magnetization = 1.5 μB/f.u.

Entry from the Alexandria database: a relaxed structure of NaCrCl3 (PBE-GGA).

Lattice parameters (Å, degrees): 5.023 5.023 5.023 90.00 90.00 90.00
Last column: magnetic moment on the atom in μB.
Fractional coordinates of all 5 atoms:
Cr (0.500, 0.500, 0.500)  4.09
Na (0.000, 0.000, 0.000)  0.00
Cl (0.000, 0.500, 0.000)  -0.19
Cl (0.000, 0.000, 0.500)  -0.10
Cl (0.500, 0.000, 0.000)  -0.11

## Properties
Raw formation energy = -0.340 eV per atom
Total magnetization = 4.0 μB/f.u.
E above lowest polymorph = 917.2 meV per atom

Entry from the Alexandria database: a relaxed structure of AcCeGdAl (PBE-GGA).

Lattice parameters (Å, degrees): 5.525 5.525 5.525 60.00 60.00 60.00
Last column: magnetic moment on the atom in μB.
Fractional coordinates of all 4 atoms:
Ac (0.500, 0.500, 0.500)  0.21
Gd (0.000, 0.000, 0.000)  7.49
Al (0.250, 0.250, 0.250)  -0.04
Ce (0.750, 0.750, 0.750)  1.25

## Properties
DFT formation energy = 0.073 eV/atom
Total magnetization = 10.3 μB/f.u.

Entry from the Alexandria database: a relaxed structure of BaNaCu (PBE-GGA).

Lattice parameters (Å, degrees): 3.960 3.960 6.917 106.63 106.63 90.00
Fractional coordinates of all 3 atoms:
Na (0.966, 0.966, 0.933)
Ba (0.695, 0.695, 0.389)
Cu (0.339, 0.339, 0.678)

## Properties
DFT formation energy = 0.154 eV/atom
Total magnetization = 0.0 μB/f.u.
E above lowest polymorph = 178.8 meV per atom

Entry from the Alexandria database: a relaxed structure of NaSr2AlF (PBE-GGA).

Lattice parameters (Å, degrees): 5.375 5.375 4.642 90.00 90.00 90.00
Fractional coordinates of all 5 atoms:
Sr (0.000, 0.500, 0.000)
Sr (0.500, 0.000, 0.000)
F (0.000, 0.000, 0.000)
Al (0.500, 0.500, 0.500)
Na (0.000, 0.000, 0.500)

## Properties
Raw formation energy = -1.117 eV per atom
Total magnetization = 0.0 μB/f.u.

Entry from the Alexandria database: a relaxed structure of KCd2OsC (PBE-GGA).

Lattice parameters (Å, degrees): 5.405 4.266 5.405 90.00 90.00 90.00
Last column: magnetic moment on the atom in μB.
Fractional coordinates of all 5 atoms:
K (0.000, 0.000, 0.000)  -0.07
Os (0.500, 0.500, 0.500)  1.99
C (0.000, 0.500, 0.000)  -0.51
Cd (0.000, 0.000, 0.500)  -0.02
Cd (0.500, 0.000, 0.000)  -0.02

## Properties
DFT formation energy = 2.928 eV/atom
Total magnetization = 1.2 μB/f.u.

Entry from the Alexandria database: a relaxed structure of HoInPt (PBE-GGA).

Lattice parameters (Å, degrees): 4.707 4.707 4.707 60.00 60.00 60.00
Fractional coordinates of all 3 atoms:
Ho (0.000, 0.000, 0.000)
Pt (0.250, 0.250, 0.250)
In (0.500, 0.500, 0.500)

## Properties
DFT formation energy = -0.875 eV/atom
Total magnetization = 0.0 μB/f.u.

Entry from the Alexandria database: a relaxed structure of Sc2Ag2Sb (PBE-GGA).

Lattice parameters (Å, degrees): 4.649 4.649 6.436 68.83 68.83 90.00
Fractional coordinates of all 5 atoms:
Sc (0.750, 0.250, 0.500)
Sc (0.250, 0.750, 0.500)
Sb (0.000, 0.000, 0.000)
Ag (0.384, 0.384, 0.232)
Ag (0.616, 0.616, 0.768)

## Properties
Raw formation energy = -0.018 eV per atom
Total magnetization = 0.0 μB/f.u.
E above lowest polymorph = 327.1 meV per atom

Entry from the Alexandria database: a relaxed structure of K3Tm3TiTe8 (PBE-GGA).

Lattice parameters (Å, degrees): 8.632 8.629 9.814 116.08 90.00 120.01
Last column: magnetic moment on the atom in μB.
Fractional coordinates of all 15 atoms:
K (0.000, 0.000, 0.000)  0.00
K (0.000, 0.500, 0.000)  0.00
K (0.500, 0.500, 0.000)  0.00
Tm (0.500, 0.000, 0.500)  0.00
Tm (0.500, 0.500, 0.500)  0.00
Tm (0.000, 0.500, 0.500)  0.00
Ti (0.000, 0.000, 0.500)  -0.09
Te (0.264, 0.528, 0.293)  0.00
Te (0.736, 0.472, 0.707)  0.00
Te (0.778, 0.556, 0.305)  0.00
Te (0.222, 0.444, 0.695)  0.00
Te (0.778, 0.027, 0.305)  0.00
Te (0.222, 0.973, 0.695)  0.00
Te (0.248, 0.027, 0.305)  0.00
Te (0.752, 0.973, 0.695)  0.00

## Properties
Raw formation energy = -1.193 eV per atom
Total magnetization = 0.1 μB/f.u.

Entry from the Alexandria database: a relaxed structure of AgSnTeSe4 (PBE-GGA).

Lattice parameters (Å, degrees): 8.102 8.243 8.243 62.09 60.56 60.56
Fractional coordinates of all 14 atoms:
Ag (0.637, 0.613, 0.113)
Ag (0.363, 0.387, 0.887)
Sn (0.500, 0.000, 0.500)
Sn (0.000, 0.000, 0.500)
Te (0.000, 0.000, 0.000)
Te (0.000, 0.500, 0.500)
Se (0.755, 0.761, 0.730)
Se (0.245, 0.770, 0.739)
Se (0.755, 0.230, 0.261)
Se (0.245, 0.239, 0.270)
Se (0.237, 0.752, 0.252)
Se (0.760, 0.752, 0.252)
Se (0.240, 0.248, 0.748)
Se (0.763, 0.248, 0.748)

## Properties
Raw formation energy = -0.136 eV per atom
Total magnetization = 0.0 μB/f.u.

Entry from the Alexandria database: a relaxed structure of Cr2NiHg (PBE-GGA).

Lattice parameters (Å, degrees): 7.153 7.153 5.734 51.40 51.40 90.00
Last column: magnetic moment on the atom in μB.
Fractional coordinates of all 8 atoms:
Ni (0.500, 0.500, 0.000)  0.36
Ni (0.250, 0.750, 0.500)  0.35
Hg (0.000, 0.000, 0.000)  0.02
Hg (0.750, 0.250, 0.500)  0.02
Cr (0.581, 0.125, 0.250)  3.45
Cr (0.169, 0.625, 0.250)  3.45
Cr (0.375, 0.419, 0.750)  3.48
Cr (0.875, 0.831, 0.750)  3.48

## Properties
DFT formation energy = 0.828 eV/atom
Total magnetization = 8.0 μB/f.u.

Entry from the Alexandria database: a relaxed structure of SrEuHoMg (PBE-GGA).

Lattice parameters (Å, degrees): 5.841 5.841 5.841 60.00 60.00 60.00
Last column: magnetic moment on the atom in μB.
Fractional coordinates of all 4 atoms:
Eu (0.250, 0.250, 0.250)  -6.94
Sr (0.000, 0.000, 0.000)  -0.04
Mg (0.750, 0.750, 0.750)  0.01
Ho (0.500, 0.500, 0.500)  -0.20

## Properties
DFT formation energy = 0.134 eV/atom
Total magnetization = 7.7 μB/f.u.

Entry from the Alexandria database: a relaxed structure of Pm3TlPd12 (PBE-GGA).

Lattice parameters (Å, degrees): 4.173 4.173 16.556 90.00 90.00 90.00
Fractional coordinates of all 16 atoms:
Pm (0.000, 0.000, 0.246)
Pm (0.000, 0.000, 0.500)
Pm (0.000, 0.000, 0.754)
Tl (0.000, 0.000, 0.000)
Pd (0.500, 0.500, 0.000)
Pd (0.500, 0.500, 0.247)
Pd (0.500, 0.500, 0.500)
Pd (0.500, 0.500, 0.753)
Pd (0.500, 0.000, 0.120)
Pd (0.500, 0.000, 0.374)
Pd (0.500, 0.000, 0.626)
Pd (0.500, 0.000, 0.880)
Pd (0.000, 0.500, 0.120)
Pd (0.000, 0.500, 0.374)
Pd (0.000, 0.500, 0.626)
Pd (0.000, 0.500, 0.880)

## Properties
DFT formation energy = -0.645 eV/atom
Total magnetization = 0.0 μB/f.u.

Entry from the Alexandria database: a relaxed structure of FeTcI2N (PBE-GGA).

Lattice parameters (Å, degrees): 5.409 5.409 3.475 90.00 90.00 90.00
Last column: magnetic moment on the atom in μB.
Fractional coordinates of all 5 atoms:
I (0.000, 0.500, 0.000)  0.05
I (0.500, 0.000, 0.000)  0.05
N (0.000, 0.000, 0.500)  0.03
Tc (0.500, 0.500, 0.500)  3.19
Fe (0.000, 0.000, 0.000)  -0.13

## Properties
Raw formation energy = 0.946 eV per atom
Total magnetization = 3.7 μB/f.u.
E above lowest polymorph = 180.5 meV per atom

Entry from the Alexandria database: a relaxed structure of NdTmTh2 (PBE-GGA).

Lattice parameters (Å, degrees): 5.041 5.078 11.336 90.00 116.32 90.00
Fractional coordinates of all 8 atoms:
Nd (0.368, 0.250, 0.369)
Nd (0.632, 0.750, 0.631)
Tm (0.868, 0.750, 0.369)
Tm (0.132, 0.250, 0.631)
Th (0.620, 0.250, 0.120)
Th (0.380, 0.750, 0.880)
Th (0.122, 0.750, 0.123)
Th (0.878, 0.250, 0.877)

## Properties
DFT formation energy = 0.030 eV/atom
Total magnetization = 0.0 μB/f.u.
E above lowest polymorph = 0.0 meV per atom

Entry from the Alexandria database: a relaxed structure of ErPa2Mn (PBE-GGA).

Lattice parameters (Å, degrees): 3.592 3.592 8.877 78.33 78.33 60.00
Fractional coordinates of all 4 atoms:
Pa (0.727, 0.727, 0.820)
Pa (0.273, 0.273, 0.180)
Mn (0.000, 0.000, 0.000)
Er (0.500, 0.500, 0.500)

## Properties
DFT formation energy = 0.156 eV/atom
Total magnetization = 0.0 μB/f.u.
E above lowest polymorph = 0.0 meV per atom

Entry from the Alexandria database: a relaxed structure of LiCe2Al2Pt7 (PBE-GGA).

Lattice parameters (Å, degrees): 4.057 4.057 13.564 83.74 83.74 89.29
Last column: magnetic moment on the atom in μB.
Fractional coordinates of all 12 atoms:
Li (0.000, 0.000, 0.000)  0.00
Ce (0.881, 0.881, 0.347)  0.47
Ce (0.119, 0.119, 0.653)  0.47
Al (0.589, 0.589, 0.754)  0.00
Al (0.411, 0.411, 0.246)  0.00
Pt (0.500, 0.500, 0.000)  -0.03
Pt (0.362, 0.362, 0.427)  -0.02
Pt (0.638, 0.638, 0.573)  -0.02
Pt (0.948, 0.448, 0.145)  -0.01
Pt (0.448, 0.948, 0.145)  -0.01
Pt (0.552, 0.052, 0.855)  -0.01
Pt (0.052, 0.552, 0.855)  -0.01

## Properties
DFT formation energy = -0.838 eV/atom
Total magnetization = 1.0 μB/f.u.

Entry from the Alexandria database: a relaxed structure of Li6CaPt2 (PBE-GGA).

Lattice parameters (Å, degrees): 4.180 4.180 9.576 90.00 90.00 90.00
Fractional coordinates of all 9 atoms:
Li (0.000, 0.500, 0.280)
Li (0.500, 0.000, 0.280)
Li (0.000, 0.500, 0.720)
Li (0.500, 0.000, 0.720)
Li (0.500, 0.500, 0.500)
Li (0.000, 0.000, 0.500)
Ca (0.000, 0.000, 0.000)
Pt (0.500, 0.500, 0.135)
Pt (0.500, 0.500, 0.865)

## Properties
DFT formation energy = -0.361 eV/atom
Total magnetization = 0.0 μB/f.u.

Entry from the Alexandria database: a relaxed structure of MgTi2Zn (PBE-GGA).

Lattice parameters (Å, degrees): 4.576 4.576 4.576 60.00 60.00 60.00
Fractional coordinates of all 4 atoms:
Zn (0.500, 0.500, 0.500)
Mg (0.000, 0.000, 0.000)
Ti (0.250, 0.250, 0.250)
Ti (0.750, 0.750, 0.750)

## Properties
DFT formation energy = 0.064 eV/atom
Total magnetization = 0.0 μB/f.u.
E above lowest polymorph = 49.8 meV per atom

Entry from the Alexandria database: a relaxed structure of Pm2Dy3Er6Pu (PBE-GGA).

Lattice parameters (Å, degrees): 6.119 6.119 11.642 95.04 95.04 120.03
Last column: magnetic moment on the atom in μB.
Fractional coordinates of all 12 atoms:
Pm (0.333, 0.667, 0.000)  -0.04
Pm (0.667, 0.333, 0.000)  -0.04
Dy (0.167, 0.833, 0.500)  0.03
Dy (0.833, 0.167, 0.500)  0.03
Dy (0.500, 0.500, 0.500)  0.04
Er (0.917, 0.588, 0.750)  -0.04
Er (0.754, 0.754, 0.250)  -0.04
Er (0.083, 0.412, 0.250)  -0.04
Er (0.588, 0.917, 0.750)  -0.04
Er (0.246, 0.246, 0.750)  -0.04
Er (0.412, 0.083, 0.250)  -0.04
Pu (0.000, 0.000, 0.000)  -5.57

## Properties
DFT formation energy = 0.046 eV/atom
Total magnetization = 6.3 μB/f.u.

Entry from the Alexandria database: a relaxed structure of BeAsP2 (PBE-GGA).

Lattice parameters (Å, degrees): 8.544 8.544 8.544 21.38 21.38 21.38
Fractional coordinates of all 4 atoms:
P (0.005, 0.005, 0.005)
P (0.286, 0.286, 0.286)
As (0.468, 0.468, 0.468)
Be (0.741, 0.741, 0.741)

## Properties
DFT formation energy = 0.285 eV/atom
Total magnetization = 0.0 μB/f.u.
E above lowest polymorph = 270.6 meV per atom

Entry from the Alexandria database: a relaxed structure of K3TlHg4 (PBE-GGA).

Lattice parameters (Å, degrees): 7.610 7.610 7.610 111.16 89.32 130.61
Fractional coordinates of all 8 atoms:
K (0.574, 0.228, 0.802)
K (0.938, 0.000, 0.938)
K (0.574, 0.772, 0.346)
Tl (0.010, 0.500, 0.510)
Hg (0.260, 0.687, 0.946)
Hg (0.260, 0.313, 0.573)
Hg (0.514, 0.246, 0.268)
Hg (0.022, 0.754, 0.268)

## Properties
DFT formation energy = -0.160 eV/atom
Total magnetization = 0.0 μB/f.u.
E above lowest polymorph = 32.9 meV per atom